Entry 1:
First-principles (GGA-PBE) data for an optimized crystal structure of SrMoPd, as listed in the Alexandria database.

## Properties
E_form: 0.173 eV per atom
V: 24.2 Å³ per atom
polymorph energy (0 for the lowest one): 0.108 eV/atom

The structure in CIF format:
```
data_SrMoPd
_symmetry_space_group_name_H-M 'C 1 m 1'
_symmetry_Int_Tables_number 8
_cell_length_a 7.4880
_cell_length_b 4.6836
_cell_length_c 8.6932
_cell_angle_alpha 90.00
_cell_angle_beta 107.50
_cell_angle_gamma 90.00
loop_
_symmetry_equiv_pos_as_xyz
'x,y,z'
'x,-y,z'
'x+1/2,y+1/2,z'
'x+1/2,-y+1/2,z'
loop_
_atom_site_label
_atom_site_type_symbol
_atom_site_fract_x
_atom_site_fract_y
_atom_site_fract_z
_atom_site_occupancy
Sr1 Sr 0.0000 0.0000 0.0000 1
Sr2 Sr 0.0512 0.5000 0.6211 1
Mo1 Mo 0.2510 0.5000 0.3016 1
Mo2 Mo 0.4200 0.0000 0.2134 1
Pd1 Pd 0.1366 0.0000 0.3890 1
Pd2 Pd 0.2888 0.0000 0.8362 1
```

=====

Entry 2:
First-principles (GGA-PBE) data for an optimized crystal structure of K2TmPd3F12, as listed in the Alexandria database.

## Properties
V: 18.4 Å³ per atom
raw formation energy: -2.184 eV/atom

The structure in CIF format:
```
data_K2TmPd3F12
_symmetry_space_group_name_H-M 'R -3 m'
_symmetry_Int_Tables_number 166
_symmetry_space_group_name_Hall '-R 3 2"'
_cell_length_a 7.5975
_cell_length_b 7.5975
_cell_length_c 19.9186
_cell_angle_alpha 90.00
_cell_angle_beta 90.00
_cell_angle_gamma 120.00
loop_
_atom_site_label
_atom_site_type_symbol
_atom_site_fract_x
_atom_site_fract_y
_atom_site_fract_z
_atom_site_occupancy
K1 K 0.0000 0.0000 0.1045 1
Tm1 Tm 0.0000 0.0000 0.5000 1
Pd1 Pd 0.0000 0.5000 0.0000 1
F1 F 0.0527 0.5263 0.3595 1
F2 F 0.0606 0.5303 0.1084 1
```

=====

Entry 3:
First-principles (GGA-PBE) data for an optimized crystal structure of BiSbP2S, as listed in the Alexandria database.

## Properties
V: 27.9 Å³ per atom
raw formation energy: 1.083 eV/atom
polymorph energy (0 for the lowest one): 0.325 eV/atom

The structure in CIF format:
```
data_BiSbP2S
_symmetry_space_group_name_H-M 'P 4/m m m'
_symmetry_Int_Tables_number 123
_symmetry_space_group_name_Hall '-P 4 2'
_cell_length_a 5.2248
_cell_length_b 5.2248
_cell_length_c 5.1149
_cell_angle_alpha 90.00
_cell_angle_beta 90.00
_cell_angle_gamma 90.00
loop_
_atom_site_label
_atom_site_type_symbol
_atom_site_fract_x
_atom_site_fract_y
_atom_site_fract_z
_atom_site_occupancy
Bi1 Bi 0.0000 0.0000 0.0000 1
Sb1 Sb 0.5000 0.5000 0.5000 1
P1 P 0.0000 0.5000 0.0000 1
S1 S 0.0000 0.0000 0.5000 1
```

=====

Entry 4:
First-principles (GGA-PBE) data for an optimized crystal structure of NaMnS2N, as listed in the Alexandria database.

## Properties
V: 19.3 Å³ per atom
raw formation energy: 2.044 eV/atom
polymorph energy (0 for the lowest one): 2.149 eV/atom

The structure in CIF format:
```
data_NaMnS2N
_symmetry_space_group_name_H-M 'P 4/m m m'
_symmetry_Int_Tables_number 123
_symmetry_space_group_name_Hall '-P 4 2'
_cell_length_a 4.8848
_cell_length_b 4.8848
_cell_length_c 4.0449
_cell_angle_alpha 90.00
_cell_angle_beta 90.00
_cell_angle_gamma 90.00
loop_
_atom_site_label
_atom_site_type_symbol
_atom_site_fract_x
_atom_site_fract_y
_atom_site_fract_z
_atom_site_occupancy
Na1 Na 0.0000 0.0000 0.0000 1
Mn1 Mn 0.5000 0.5000 0.5000 1
S1 S 0.0000 0.5000 0.0000 1
N1 N 0.0000 0.0000 0.5000 1
```

=====

Entry 5:
First-principles (GGA-PBE) data for an optimized crystal structure of Na6Cd23Ag, as listed in the Alexandria database.

## Properties
E_form: -0.053 eV per atom
V: 23.9 Å³ per atom

The structure in CIF format:
```
data_Na6Cd23Ag
_symmetry_space_group_name_H-M 'F m -3 m'
_symmetry_Int_Tables_number 225
_symmetry_space_group_name_Hall '-F 4 2 3'
_cell_length_a 14.2066
_cell_length_b 14.2066
_cell_length_c 14.2066
_cell_angle_alpha 90.00
_cell_angle_beta 90.00
_cell_angle_gamma 90.00
loop_
_atom_site_label
_atom_site_type_symbol
_atom_site_fract_x
_atom_site_fract_y
_atom_site_fract_z
_atom_site_occupancy
Na1 Na 0.0000 0.0000 0.2164 1
Cd1 Cd 0.0000 0.0000 0.5000 1
Cd2 Cd 0.0000 0.2500 0.2500 1
Cd3 Cd 0.1210 0.1210 0.3790 1
Cd4 Cd 0.1598 0.1598 0.1598 1
Ag1 Ag 0.0000 0.0000 0.0000 1
```

=====

Entry 6:
First-principles (GGA-PBE) data for an optimized crystal structure of Ca4TlZn2, as listed in the Alexandria database.

## Properties
E_form: -0.227 eV per atom
V: 29.7 Å³ per atom

The structure in CIF format:
```
data_Ca4TlZn2
_symmetry_space_group_name_H-M 'R -3 m'
_symmetry_Int_Tables_number 166
_symmetry_space_group_name_Hall '-R 3 2"'
_cell_length_a 5.2794
_cell_length_b 5.2794
_cell_length_c 25.8283
_cell_angle_alpha 90.00
_cell_angle_beta 90.00
_cell_angle_gamma 120.00
loop_
_atom_site_label
_atom_site_type_symbol
_atom_site_fract_x
_atom_site_fract_y
_atom_site_fract_z
_atom_site_occupancy
Ca1 Ca 0.0000 0.0000 0.1212 1
Ca2 Ca 0.0000 0.0000 0.3729 1
Tl1 Tl 0.0000 0.0000 0.5000 1
Zn1 Zn 0.0000 0.0000 0.2480 1
```

=====

Question: Which value of V does entry 1 give?
Answer: 24.2 Å³ per atom